LaCo3SiB PBE-GGA optimized geometry; ΔE_f (raw) = -386 meV/atom; E_tot = -6.777 eV/atom
1.0
2.727 -5.712 0.000
2.727 5.712 0.000
0.000 0.000 5.492
La Co Si B
2 6 2 2
direct
0.247 0.753 0.750 La
0.753 0.247 0.250 La
0.254 0.254 0.000 Co
0.254 0.254 0.500 Co
0.305 0.695 0.250 Co
0.695 0.305 0.750 Co
0.746 0.746 0.000 Co
0.746 0.746 0.500 Co
0.108 0.892 0.250 Si
0.892 0.108 0.750 Si
0.476 0.524 0.250 B
0.524 0.476 0.750 B